# SrGaSnH

SrGaSnH after structural relaxation (PBEsol, Alexandria via LeMat-Bulk).

Properties
- Symmetry: P3m1, No. 156
- Uncorrected energy: -3.680 eV per atom

Cell and atoms, written as POSCAR:
```
SrGaSnH
1.0
4.417 0.000 0.000
-2.208 3.825 0.000
0.000 0.000 5.004
Sr Ga Sn H
1 1 1 1
direct
0.000 0.000 0.000
0.333 0.667 0.401
0.667 0.333 0.549
0.333 0.667 0.056
```